# 1
Below is YRuPb2 after structural relaxation, with properties calculated at the PBE-GGA level.

The structure in POSCAR format:
```
YRuPb2
1.0
3.478 -0.013 0.000
0.010 3.478 0.000
0.000 0.000 7.575
Y Pb Ru
1 2 1
Direct
0.500 0.500 0.750 Y
0.000 0.000 0.038 Pb
0.000 0.000 0.462 Pb
0.500 0.500 0.250 Ru
```

Values from the calculation:
Energy of formation from the pure elements: 0.04 eV per atom
Total magnetization: 0.56 μB per cell
Density of states at the Fermi level: 0.9681 states/eV per atom

# 2
Below is Sn3Ge5O12 after structural relaxation, with properties calculated at the PBE-GGA level.

The structure in POSCAR format:
```
Sn3Ge5O12
1.0
-6.849 -8.815 -1.176
9.625 -3.342 4.710
-4.894 7.694 6.545
O Sn Ge
48 12 20
Direct
0.689 0.492 0.605 O
0.614 0.008 0.197 O
0.811 0.895 0.008 O
0.008 0.395 0.811 O
0.311 0.508 0.395 O
0.197 0.508 0.614 O
0.895 0.083 0.886 O
0.886 0.303 0.492 O
0.114 0.697 0.508 O
0.386 0.992 0.803 O
0.614 0.605 0.917 O
0.508 0.197 0.114 O
0.492 0.803 0.886 O
0.197 0.689 0.083 O
0.417 0.114 0.605 O
0.083 0.189 0.197 O
0.395 0.008 0.311 O
0.008 0.614 0.697 O
0.605 0.992 0.689 O
0.992 0.605 0.189 O
0.189 0.083 0.697 O
0.189 0.105 0.992 O
0.895 0.811 0.508 O
0.803 0.492 0.386 O
0.583 0.886 0.395 O
0.811 0.917 0.303 O
0.105 0.189 0.492 O
0.303 0.886 0.992 O
0.105 0.917 0.114 O
0.303 0.417 0.811 O
0.605 0.614 0.417 O
0.803 0.311 0.917 O
0.386 0.395 0.083 O
0.917 0.811 0.803 O
0.583 0.697 0.689 O
0.492 0.689 0.105 O
0.083 0.895 0.386 O
0.508 0.311 0.895 O
0.114 0.417 0.105 O
0.311 0.803 0.417 O
0.886 0.583 0.895 O
0.689 0.197 0.583 O
0.992 0.386 0.303 O
0.417 0.303 0.311 O
0.697 0.583 0.189 O
0.917 0.105 0.614 O
0.395 0.386 0.583 O
0.697 0.114 0.008 O
0.750 0.875 0.625 Sn
0.750 0.375 0.125 Sn
0.125 0.875 0.750 Sn
0.875 0.125 0.250 Sn
0.250 0.125 0.375 Sn
0.625 0.250 0.375 Sn
0.125 0.250 0.875 Sn
0.625 0.375 0.750 Sn
0.250 0.625 0.875 Sn
0.875 0.750 0.125 Sn
0.375 0.750 0.625 Sn
0.375 0.625 0.250 Sn
0.250 0.375 0.625 Ge
0.750 0.625 0.375 Ge
0.625 0.875 0.250 Ge
0.375 0.125 0.750 Ge
0.500 0.500 0.000 Ge
0.125 0.375 0.250 Ge
0.750 0.125 0.875 Ge
0.000 0.000 0.500 Ge
0.375 0.250 0.125 Ge
0.875 0.250 0.625 Ge
0.125 0.750 0.375 Ge
0.875 0.625 0.750 Ge
0.625 0.750 0.875 Ge
0.000 0.500 0.500 Ge
0.500 0.500 0.500 Ge
0.000 0.500 0.000 Ge
0.500 0.000 0.500 Ge
0.250 0.875 0.125 Ge
0.000 0.000 0.000 Ge
0.500 0.000 0.000 Ge
```

Values from the calculation:
Total magnetization: 0.00 μB per cell
Density of states at the Fermi level: 0.4901 states/eV per atom
ΔE_f (raw): -121.3 kJ per mole of atoms

# 3
Below is Tl9Hg3As2 after structural relaxation, with properties calculated at the PBE-GGA level.

The structure in POSCAR format:
```
Tl9Hg3As2
1.0
-1.713 1.316 3.593
-8.044 -6.447 0.973
4.840 -5.969 6.940
Hg Tl As
3 9 2
Direct
0.000 0.296 0.704 Hg
0.000 0.000 0.000 Hg
0.000 0.704 0.296 Hg
0.623 0.753 0.001 Tl
0.686 0.463 0.165 Tl
0.686 0.165 0.463 Tl
0.500 0.500 0.500 Tl
0.377 0.247 0.999 Tl
0.377 0.999 0.247 Tl
0.314 0.537 0.835 Tl
0.623 0.001 0.753 Tl
0.314 0.835 0.537 Tl
0.800 0.700 0.700 As
0.200 0.300 0.300 As
```

Values from the calculation:
Energy of formation from the pure elements: 0.03 eV per atom
Total magnetization: 0.00 μB per cell
Density of states at the Fermi level: 0.2279 states/eV per atom

# 4
Below is Co2Cu2Rh after structural relaxation, with properties calculated at the PBE-GGA level.

The structure in POSCAR format:
```
Co2Cu2Rh
1.0
-6.696 -0.936 0.291
0.958 -5.825 3.308
-0.083 1.335 2.375
Co Cu Rh
4 4 2
Direct
0.618 0.118 0.000 Co
0.118 0.382 0.000 Co
0.882 0.618 0.000 Co
0.382 0.882 0.000 Co
0.322 0.178 0.500 Cu
0.822 0.322 0.500 Cu
0.178 0.678 0.500 Cu
0.678 0.822 0.500 Cu
0.500 0.500 0.000 Rh
0.000 0.000 0.000 Rh
```

Values from the calculation:
Energy of formation from the pure elements: 0.32 eV per atom
Total magnetization: 8.59 μB per cell
Density of states at the Fermi level: 1.3285 states/eV per atom
Offset from the most stable computed form: 9 meV/atom

# 5
Below is SrMnSnCl6 after structural relaxation, with properties calculated at the PBE-GGA level.

The structure in POSCAR format:
```
SrMnSnCl6
1.0
-0.835 5.467 4.270
3.647 -5.568 2.125
10.244 5.021 -4.426
Cl Mn Sr Sn
12 2 2 2
Direct
0.675 0.039 0.371 Cl
0.039 0.364 0.629 Cl
0.636 0.675 0.629 Cl
0.961 0.325 0.129 Cl
0.675 0.636 0.129 Cl
0.325 0.364 0.871 Cl
0.961 0.636 0.371 Cl
0.364 0.325 0.371 Cl
0.364 0.039 0.129 Cl
0.039 0.675 0.871 Cl
0.636 0.961 0.871 Cl
0.325 0.961 0.629 Cl
0.667 0.333 0.250 Mn
0.333 0.667 0.750 Mn
0.667 0.333 0.750 Sr
0.333 0.667 0.250 Sr
0.000 0.000 0.000 Sn
0.000 0.000 0.500 Sn
```

Values from the calculation:
Total magnetization: 10.00 μB per cell
Density of states at the Fermi level: 0.0000 states/eV per atom
ΔE_f (raw): -144.0 kJ per mole of atoms

# 6
Below is NbRu3Cl after structural relaxation, with properties calculated at the PBE-GGA level.

The structure in POSCAR format:
```
NbRu3Cl
1.0
4.824 0.000 0.000
0.000 4.824 0.000
0.000 0.000 4.824
Ru Nb Cl
3 1 1
Direct
0.000 0.000 0.500 Ru
0.500 0.000 0.000 Ru
0.000 0.500 0.000 Ru
0.000 0.000 0.000 Nb
0.500 0.500 0.500 Cl
```

Values from the calculation:
Total magnetization: 4.33 μB per cell
Density of states at the Fermi level: 0.8661 states/eV per atom
Offset from the most stable computed form: 724 meV/atom
ΔE_f (raw): 167.4 kJ per mole of atoms

# 7
Below is CaAc5Pr4 after structural relaxation, with properties calculated at the PBE-GGA level.

The structure in POSCAR format:
```
CaAc5Pr4
1.0
3.908 0.000 0.000
0.000 3.908 0.000
0.000 0.000 26.913
Ac Pr Ca
5 4 1
Direct
0.500 0.500 0.698 Ac
0.500 0.500 0.302 Ac
0.500 0.500 0.500 Ac
0.500 0.500 0.106 Ac
0.500 0.500 0.894 Ac
0.000 0.000 0.599 Pr
0.000 0.000 0.798 Pr
0.000 0.000 0.202 Pr
0.000 0.000 0.401 Pr
0.000 0.000 0.000 Ca
```

Values from the calculation:
Energy of formation from the pure elements: 0.02 eV per atom
Total magnetization: 0.00 μB per cell
Density of states at the Fermi level: 1.5608 states/eV per atom

# 8
Below is La2CeHo3S6 after structural relaxation, with properties calculated at the PBE-GGA level.

The structure in POSCAR format:
```
La2CeHo3S6
1.0
3.956 0.000 0.000
0.000 8.091 0.201
-1.978 -2.423 8.425
S La Ho Ce
6 2 3 1
Direct
0.330 0.930 0.660 S
0.670 0.070 0.340 S
0.338 0.404 0.676 S
0.662 0.596 0.324 S
0.995 0.257 0.989 S
0.005 0.743 0.011 S
0.835 0.669 0.669 La
0.165 0.331 0.331 La
0.500 0.500 0.000 Ho
0.833 0.165 0.666 Ho
0.167 0.835 0.334 Ho
0.500 0.000 0.000 Ce
```

Values from the calculation:
Total magnetization: 1.10 μB per cell
Density of states at the Fermi level: 0.8335 states/eV per atom
ΔE_f (raw): -198.4 kJ per mole of atoms

# 9
Below is BaLaAgAs2 after structural relaxation, with properties calculated at the PBE-GGA level.

The structure in POSCAR format:
```
BaLaAgAs2
1.0
5.579 0.000 0.000
0.000 7.198 0.000
0.000 0.000 5.579
La Ba As Ag
1 1 2 1
Direct
0.000 0.000 0.000 La
0.000 0.500 0.000 Ba
0.500 0.000 0.000 As
0.000 0.000 0.500 As
0.500 0.500 0.500 Ag
```

Values from the calculation:
Energy of formation from the pure elements: 0.37 eV per atom
Total magnetization: 0.48 μB per cell
Density of states at the Fermi level: 0.6606 states/eV per atom

# 10
Below is BaSnSe2 after structural relaxation, with properties calculated at the PBE-GGA level.

The structure in POSCAR format:
```
BaSnSe2
1.0
6.839 0.000 0.000
0.000 6.839 0.000
3.420 3.420 7.407
Se Ba Sn
4 2 2
Direct
0.375 0.412 0.750 Se
0.588 0.125 0.250 Se
0.875 0.838 0.750 Se
0.162 0.625 0.250 Se
0.750 0.250 0.500 Ba
0.000 0.000 0.000 Ba
0.500 0.500 0.000 Sn
0.250 0.750 0.500 Sn
```

Values from the calculation:
Total magnetization: 0.00 μB per cell
Density of states at the Fermi level: 0.0000 states/eV per atom
ΔE_f (raw): -97.6 kJ per mole of atoms

# 11
Below is Cu2HgSb after structural relaxation, with properties calculated at the PBE-GGA level.

The structure in POSCAR format:
```
Cu2HgSb
1.0
6.532 0.048 -0.010
4.377 4.848 0.010
-5.071 -3.302 2.459
Sb Cu Hg
1 2 1
Direct
0.209 0.709 0.500 Sb
0.006 0.006 0.000 Cu
0.815 0.315 0.500 Cu
0.470 0.470 0.000 Hg
```

Values from the calculation:
Total magnetization: 0.00 μB per cell
Density of states at the Fermi level: 0.3553 states/eV per atom
ΔE_f (raw): 18.6 kJ per mole of atoms

# 12
Below is Al2HgSe after structural relaxation, with properties calculated at the PBE-GGA level.

The structure in POSCAR format:
```
Al2HgSe
1.0
5.395 0.039 0.014
0.882 5.322 -0.014
-2.072 -3.928 3.062
Se Hg Al
1 1 2
Direct
0.750 0.250 0.500 Se
0.250 0.750 0.500 Hg
0.983 0.983 0.000 Al
0.517 0.517 0.000 Al
```

Values from the calculation:
Total magnetization: 0.00 μB per cell
Density of states at the Fermi level: 0.3975 states/eV per atom
ΔE_f (raw): 4.5 kJ per mole of atoms

# 13
Below is Cs2Pr2Cl7 after structural relaxation, with properties calculated at the PBE-GGA level.

The structure in POSCAR format:
```
Cs2Pr2Cl7
1.0
7.908 -0.414 0.406
0.310 6.958 1.051
-0.370 -0.179 7.031
Cl Cs Pr
7 2 2
Direct
0.788 0.500 0.500 Cl
0.218 0.500 0.000 Cl
0.782 0.500 0.000 Cl
0.218 0.000 0.500 Cl
0.212 0.500 0.500 Cl
0.000 0.000 0.000 Cl
0.782 0.000 0.500 Cl
0.500 0.228 0.772 Cs
0.500 0.772 0.228 Cs
0.000 0.279 0.279 Pr
0.000 0.721 0.721 Pr
```

Values from the calculation:
Total magnetization: 1.04 μB per cell
Density of states at the Fermi level: 0.2651 states/eV per atom
ΔE_f (raw): -198.8 kJ per mole of atoms

# 14
Below is KNa2TaS4 after structural relaxation, with properties calculated at the PBE-GGA level.

The structure in POSCAR format:
```
KNa2TaS4
1.0
6.557 0.000 0.000
0.000 6.742 0.000
0.000 0.000 10.429
S Na Ta K
8 4 2 2
Direct
0.449 0.151 0.500 S
0.360 0.224 0.000 S
0.891 0.315 0.187 S
0.860 0.776 0.500 S
0.949 0.849 0.000 S
0.391 0.685 0.313 S
0.391 0.685 0.687 S
0.891 0.315 0.813 S
0.970 0.717 0.249 Na
0.470 0.283 0.749 Na
0.470 0.283 0.251 Na
0.970 0.717 0.751 Na
0.514 0.817 0.500 Ta
0.014 0.183 0.000 Ta
0.955 0.258 0.500 K
0.455 0.742 0.000 K
```

Values from the calculation:
Total magnetization: 0.00 μB per cell
Density of states at the Fermi level: 0.0000 states/eV per atom
ΔE_f (raw): -113.8 kJ per mole of atoms

# 15
Below is OsRuPt2 after structural relaxation, with properties calculated at the PBE-GGA level.

The structure in POSCAR format:
```
OsRuPt2
1.0
9.282 0.009 0.006
8.874 2.723 0.006
8.874 1.336 2.373
Os Pt Ru
1 2 1
Direct
0.754 0.754 0.754 Os
0.247 0.247 0.247 Pt
0.002 0.002 0.002 Pt
0.496 0.496 0.496 Ru
```

Values from the calculation:
Energy of formation from the pure elements: -0.01 eV per atom
Total magnetization: 0.00 μB per cell
Density of states at the Fermi level: 1.1124 states/eV per atom
Offset from the most stable computed form: 4 meV/atom

# 16
Below is YMnOs after structural relaxation, with properties calculated at the PBE-GGA level.

The structure in POSCAR format:
```
YMnOs
1.0
4.019 0.000 0.000
0.000 4.296 0.000
-2.010 0.000 6.898
Mn Os Y
2 2 2
Direct
0.748 0.750 0.496 Mn
0.252 0.250 0.504 Mn
0.662 0.250 0.325 Os
0.338 0.750 0.675 Os
0.092 0.750 0.184 Y
0.908 0.250 0.816 Y
```

Values from the calculation:
Energy of formation from the pure elements: 0.22 eV per atom
Total magnetization: 2.29 μB per cell
Density of states at the Fermi level: 1.3753 states/eV per atom
Offset from the most stable computed form: 417 meV/atom